1.
The following is a PBE calculation of YZn3CuIr after structural relaxation, from Alexandria.

Values from the calculation:
D(E_F)   0.4235 states/eV per atom
V   229.5 Å³/cell
Energy   -48.39 eV/cell
ΔE_f   -159 meV/atom

a = 5.313 Å, b = 7.958 Å, c = 6.730 Å
α = 126.25°, β = 90.00°, γ = 90.00°
Fractional positions:
Y (0.750, 0.310, 0.620)
Y (0.250, 0.690, 0.380)
Zn (0.250, 0.176, 0.353)
Zn (0.000, 0.252, 0.000)
Zn (0.500, 0.748, 0.000)
Zn (0.500, 0.252, 0.000)
Zn (0.000, 0.748, 0.000)
Zn (0.750, 0.824, 0.647)
Cu (0.250, 0.951, 0.903)
Cu (0.750, 0.049, 0.097)
Ir (0.250, 0.409, 0.817)
Ir (0.750, 0.591, 0.183)

2.
The following is a PBE calculation of Rb5TiTe5 after structural relaxation, from Alexandria.

Values from the calculation:
D(E_F)   1.2114 states/eV per atom
V   514.5 Å³/cell
Energy   -36.37 eV/cell
E_form (uncorrected)   -0.72 eV per atom

a = 6.895 Å, b = 8.876 Å, c = 9.717 Å
α = 108.48°, β = 90.00°, γ = 112.85°
Fractional positions:
Rb (0.699, 0.398, 0.305)
Rb (0.666, 0.333, 0.838)
Rb (0.000, 0.000, 0.500)
Rb (0.334, 0.667, 0.162)
Rb (0.301, 0.602, 0.695)
Ti (0.000, 0.000, 0.000)
Te (0.876, 0.751, 0.128)
Te (0.868, 0.735, 0.726)
Te (0.500, 0.000, 0.000)
Te (0.132, 0.265, 0.274)
Te (0.124, 0.249, 0.872)

3.
The following is a PBE calculation of SrPuBrO2 after structural relaxation, from Alexandria.

Values from the calculation:
D(E_F)   1.2747 states/eV per atom
V   234.3 Å³/cell
Energy   -81.69 eV/cell
E_form (uncorrected)   -2.65 eV per atom

a = 4.302 Å, b = 7.141 Å, c = 8.068 Å
α = 109.02°, β = 90.00°, γ = 90.00°
Fractional positions:
Sr (0.250, 0.671, 0.929)
Sr (0.750, 0.329, 0.071)
Pu (0.250, 0.652, 0.422)
Pu (0.750, 0.348, 0.578)
Br (0.250, 0.033, 0.762)
Br (0.750, 0.967, 0.238)
O (0.750, 0.546, 0.409)
O (0.250, 0.454, 0.591)
O (0.750, 0.505, 0.855)
O (0.250, 0.495, 0.145)

4.
The following is a PBE calculation of ErZnGa2Pd2 after structural relaxation, from Alexandria.

Values from the calculation:
D(E_F)   0.3990 states/eV per atom
V   105.6 Å³/cell
Energy   -26.22 eV/cell
ΔE_f   -658 meV/atom

a = 4.364 Å, b = 4.364 Å, c = 6.401 Å
α = 90.00°, β = 90.00°, γ = 120.00°
Fractional positions:
Er (0.000, 0.000, 0.500)
Zn (0.000, 0.000, 0.000)
Ga (0.333, 0.667, 0.766)
Ga (0.667, 0.333, 0.234)
Pd (0.333, 0.667, 0.184)
Pd (0.667, 0.333, 0.816)